No. 1
VASP calculation (PBE-GGA) on a geometry-optimized CsHfSc structure.

```
CsHfSc
1.0
5.0004 0.0000 0.0000
0.0000 7.0416 0.0000
0.0000 0.0000 14.3945
Sc Cs Hf
4 4 4
Direct
0.4862 0.2500 0.0897
0.5138 0.7500 0.9103
0.9862 0.2500 0.4103
0.0138 0.7500 0.5897
0.4942 0.2500 0.6389
0.0058 0.7500 0.1389
0.5058 0.7500 0.3611
0.9942 0.2500 0.8611
0.9853 0.2500 0.2114
0.0147 0.7500 0.7886
0.5147 0.7500 0.7114
0.4853 0.2500 0.2886
```

Properties
Space-group type = Pnma
Spin magnetization = 0.00 μB/cell
D(E_F) = 5.2 states/eV/f.u.

***

No. 2
VASP calculation (PBE-GGA) on a geometry-optimized CsHf2Sc structure.

```
CsHf2Sc
1.0
4.4154 0.0000 0.0000
0.0000 4.4154 0.0000
2.2077 2.2077 11.2163
Hf Cs Sc
4 2 2
Direct
0.6102 0.6250 0.2500
0.8750 0.3898 0.7500
0.1398 0.1250 0.2500
0.3750 0.8602 0.7500
0.0000 0.0000 0.0000
0.7500 0.2500 0.5000
0.5000 0.5000 0.0000
0.2500 0.7500 0.5000
```

Properties
Space-group type = I-42d
Spin magnetization = 0.00 μB/cell
D(E_F) = 3.9 states/eV/f.u.

***

No. 3
VASP calculation (PBE-GGA) on a geometry-optimized CsHf2ScSn structure.

```
CsHf2ScSn
1.0
5.3171 0.0000 0.0000
0.0000 5.1077 0.0000
0.0000 0.0000 5.3171
Hf Cs Sc Sn
2 1 1 1
Direct
0.5000 0.0000 0.0000
0.0000 0.0000 0.5000
0.0000 0.0000 0.0000
0.0000 0.5000 0.0000
0.5000 0.5000 0.5000
```

Properties
Space-group type = P4/mmm
Spin magnetization = 0.00 μB/cell
D(E_F) = 6.0 states/eV/f.u.

***

No. 4
VASP calculation (PBE-GGA) on a geometry-optimized CsHf2ScTa structure.

```
CsHf2ScTa
1.0
-4.4988 -1.1701 -2.1918
2.5647 -2.1129 -4.1361
0.0393 -4.5666 2.3572
Cs Ta Hf Sc
1 1 2 1
Direct
0.0000 0.5000 0.0000
0.5000 0.5000 0.5000
0.5000 0.0000 0.0000
0.0000 0.0000 0.5000
0.0000 0.0000 0.0000
```

Properties
Space-group type = P4/mmm
Spin magnetization = 0.01 μB/cell
D(E_F) = 8.4 states/eV/f.u.

***

No. 5
VASP calculation (PBE-GGA) on a geometry-optimized Cs3HfSc3Te8 structure.

```
Cs3HfSc3Te8
1.0
-2.0804 1.1310 8.1765
7.6670 -3.0652 -2.0564
-1.1330 10.1147 -1.6874
Te Cs Sc Hf
8 3 3 1
Direct
0.7744 0.0447 0.3194
0.7744 0.5488 0.3193
0.2256 0.9553 0.6806
0.2256 0.4512 0.6807
0.7269 0.4539 0.6806
0.2703 0.0447 0.3194
0.7297 0.9553 0.6806
0.2731 0.5461 0.3194
0.5000 0.5000 0.0000
0.0000 0.0000 0.0000
0.0000 0.5000 0.0000
0.5000 0.5000 0.5000
0.0000 0.5000 0.5000
0.5000 0.0000 0.5000
0.0000 0.0000 0.5000
```

Properties
Space-group type = R-3m
Spin magnetization = 0.00 μB/cell

***

No. 6
VASP calculation (PBE-GGA) on a geometry-optimized Cs2HfScTi structure.

```
Cs2HfScTi
1.0
-4.9942 -2.8839 -3.8862
3.3064 -2.8382 -2.1430
-0.9986 -4.8502 4.8827
Sc Hf Ti Cs
1 1 1 2
Direct
0.5000 0.5000 0.5000
0.0000 0.0000 0.0000
0.0000 0.5000 0.0000
0.5000 0.0000 0.0000
0.0000 0.0000 0.5000
```

Properties
Space-group type = P4/mmm
Spin magnetization = 1.13 μB/cell
D(E_F) = 7.5 states/eV/f.u.

***

No. 7
VASP calculation (PBE-GGA) on a geometry-optimized Cs2HfScW structure.

```
Cs2HfScW
1.0
-0.5191 -3.4484 4.9516
5.0188 -0.9994 -0.1698
1.0809 4.8363 3.4814
Cs W Sc Hf
2 1 1 1
Direct
0.0000 0.0000 0.5000
0.5000 0.0000 0.0000
0.0000 0.0000 0.0000
0.0000 0.5000 0.0000
0.5000 0.5000 0.5000
```

Properties
Space-group type = P4/mmm
Spin magnetization = 0.00 μB/cell
D(E_F) = 8.0 states/eV/f.u.

***

No. 8
VASP calculation (PBE-GGA) on a geometry-optimized CsHf2Se4 structure.

```
CsHf2Se4
1.0
-2.9382 0.4853 2.7280
-0.7885 -6.3910 -2.7019
8.2660 -5.1727 9.8233
Cs Se Hf
2 8 4
Direct
0.3909 0.7818 0.2500
0.6091 0.2182 0.7500
0.0957 0.1914 0.2500
0.7598 0.5195 0.1001
0.2402 0.4805 0.8999
0.2402 0.4805 0.6001
0.9043 0.8086 0.7500
0.7598 0.5195 0.3999
0.5000 0.0000 0.0000
0.5000 0.0000 0.5000
0.8716 0.7431 0.5631
0.1284 0.2569 0.0631
0.1284 0.2569 0.4369
0.8716 0.7431 0.9369
```

Properties
Space-group type = Cmcm
Spin magnetization = 0.00 μB/cell
D(E_F) = 2.3 states/eV/f.u.

***

No. 9
VASP calculation (PBE-GGA) on a geometry-optimized Cs2HfSe structure.

```
Cs2HfSe
1.0
0.0000 4.4316 4.4316
4.4316 0.0000 4.4316
4.4316 4.4316 0.0000
Cs Se Hf
2 1 1
Direct
0.7500 0.7500 0.7500
0.2500 0.2500 0.2500
0.0000 0.0000 0.0000
0.5000 0.5000 0.5000
```

Properties
Space-group type = Fm-3m
Spin magnetization = 2.00 μB/cell
D(E_F) = 13.2 states/eV/f.u.

***

No. 10
VASP calculation (PBE-GGA) on a geometry-optimized Cs5HfSe4 structure.

```
Cs5HfSe4
1.0
-6.8730 -3.4703 -3.4662
6.5589 -7.6432 -5.3530
-0.8619 -6.4811 8.1979
Cs Se Hf
10 8 2
Direct
0.2695 0.6859 0.2460
0.1517 0.0000 0.5000
0.7305 0.1859 0.7460
0.7305 0.8141 0.2540
0.7305 0.1859 0.2540
0.2695 0.6859 0.7540
0.2695 0.3141 0.2460
0.7305 0.8141 0.7460
0.2695 0.3141 0.7540
0.8483 0.5000 0.0000
0.3637 0.0000 0.8017
0.9776 0.3152 0.5000
0.0224 0.8152 0.0000
0.9776 0.6848 0.5000
0.3637 0.0000 0.1983
0.6363 0.5000 0.3017
0.0224 0.1848 0.0000
0.6363 0.5000 0.6983
0.1908 0.0000 0.0000
0.8092 0.5000 0.5000
```

Properties
Space-group type = Pmmn
Spin magnetization = 1.24 μB/cell
D(E_F) = 2.8 states/eV/f.u.

***

No. 11
VASP calculation (PBE-GGA) on a geometry-optimized Cs2Hf3Se6 structure.

```
Cs2Hf3Se6
1.0
-5.9528 -0.1087 -2.9184
-3.0283 -5.7874 -1.1398
-5.8068 0.4316 6.8035
Hf Cs Se
3 2 6
Direct
0.3325 0.3350 0.0000
0.0000 0.0000 0.0000
0.6675 0.6650 0.0000
0.8334 0.3333 0.5000
0.1666 0.6667 0.5000
0.2759 0.0000 0.1818
0.6060 0.3301 0.1818
0.0639 0.3301 0.8182
0.7241 0.0000 0.8182
0.3940 0.6699 0.8182
0.9361 0.6699 0.1818
```

Properties
Space-group type = C2/m
Spin magnetization = 0.00 μB/cell
D(E_F) = 5.6 states/eV/f.u.

***

No. 12
VASP calculation (PBE-GGA) on a geometry-optimized Cs3HfSe3 structure.

```
Cs3HfSe3
1.0
-0.5586 0.1486 -8.7581
7.3968 -5.6232 1.4218
-8.8594 -11.5604 0.3689
Se Hf Cs
12 4 12
Direct
0.6188 0.7438 0.9546
0.5453 0.1975 0.6582
0.0284 0.8815 0.1114
0.0453 0.6975 0.8418
0.4547 0.8025 0.3418
0.3812 0.2562 0.0454
0.5284 0.3815 0.3886
0.9716 0.1185 0.8886
0.1188 0.2438 0.5454
0.8812 0.7562 0.4546
0.9547 0.3025 0.1582
0.4716 0.6185 0.6114
0.9097 0.8502 0.9464
0.4097 0.3502 0.5536
0.0903 0.1498 0.0536
0.5903 0.6498 0.4464
0.2914 0.4253 0.8109
0.7458 0.1091 0.4299
0.2086 0.0747 0.3109
0.7914 0.9253 0.6891
0.2542 0.8909 0.5701
0.7086 0.5747 0.1891
0.1170 0.5147 0.3602
0.7542 0.3909 0.9299
0.3830 0.9853 0.8602
0.6170 0.0147 0.1398
0.2458 0.6091 0.0701
0.8830 0.4853 0.6398
```

Properties
Space-group type = P2_1/c
Spin magnetization = 0.00 μB/cell
D(E_F) = 2.6 states/eV/f.u.

***

No. 13
VASP calculation (PBE-GGA) on a geometry-optimized Cs5Hf2Se6 structure.

```
Cs5Hf2Se6
1.0
-3.2538 -7.6101 -1.5644
4.2641 -4.5844 -5.6346
10.5599 -10.5524 11.6602
Se Hf Cs
12 4 10
Direct
0.1126 0.0130 0.6271
0.6530 0.7977 0.5653
0.4011 0.3053 0.6370
0.9870 0.8874 0.8729
0.6947 0.5989 0.8630
0.3053 0.4011 0.1370
0.7977 0.6530 0.0653
0.5989 0.6947 0.3630
0.3470 0.2023 0.4347
0.2023 0.3470 0.9347
0.8874 0.9870 0.3729
0.0130 0.1126 0.1271
0.3674 0.0882 0.5709
0.0882 0.3674 0.0709
0.6326 0.9118 0.4291
0.9118 0.6326 0.9291
0.7969 0.3166 0.5019
0.2031 0.6834 0.4981
0.7470 0.9355 0.7231
0.2530 0.0645 0.2769
0.0645 0.2530 0.7769
0.6834 0.2031 0.9981
0.9355 0.7470 0.2231
0.3166 0.7969 0.0019
0.6295 0.3705 0.2500
0.3705 0.6295 0.7500
```

Properties
Space-group type = C2/c
Spin magnetization = 2.00 μB/cell

***

No. 14
VASP calculation (PBE-GGA) on a geometry-optimized Cs6HfSe4 structure.

```
Cs6HfSe4
1.0
8.8723 0.0000 0.0000
0.0000 10.1582 -5.8649
0.0000 0.0000 11.7297
Se Cs Hf
8 12 2
Direct
0.4484 0.3333 0.6667
0.3343 0.4313 0.2157
0.3343 0.7843 0.2157
0.8343 0.2157 0.7843
0.3343 0.7843 0.5687
0.8343 0.5687 0.7843
0.8343 0.2157 0.4313
0.9484 0.6667 0.3333
0.4611 0.7344 0.8672
0.6404 0.5345 0.0690
0.4611 0.1328 0.8672
0.6404 0.5345 0.4655
0.1404 0.0690 0.5345
0.9611 0.2656 0.1328
0.9611 0.8672 0.1328
0.9611 0.8672 0.7344
0.4611 0.1328 0.2656
0.1404 0.4655 0.9310
0.1404 0.4655 0.5345
0.6404 0.9310 0.4655
0.7365 0.3333 0.6667
0.2365 0.6667 0.3333
```

Properties
Space-group type = P6_3mc
Spin magnetization = 0.00 μB/cell
D(E_F) = 5.4 states/eV/f.u.

***

No. 15
VASP calculation (PBE-GGA) on a geometry-optimized CsHf3Se structure.

```
CsHf3Se
1.0
5.2608 0.0000 0.0000
0.0000 5.2608 0.0000
0.0000 0.0000 5.2608
Hf Se Cs
3 1 1
Direct
0.0000 0.5000 0.0000
0.0000 0.0000 0.5000
0.5000 0.0000 0.0000
0.5000 0.5000 0.5000
0.0000 0.0000 0.0000
```

Properties
Space-group type = Pm-3m
Spin magnetization = 0.00 μB/cell
D(E_F) = 7.3 states/eV/f.u.

***

No. 16
VASP calculation (PBE-GGA) on a geometry-optimized CsHfSe2 structure.

```
CsHfSe2
1.0
-0.8651 -2.1985 -2.9572
0.4665 -6.2239 4.4907
-8.9921 3.2996 0.1775
Cs Se Hf
2 4 2
Direct
0.7500 0.1816 0.3136
0.2500 0.8184 0.6864
0.2500 0.3142 0.6512
0.7500 0.7420 0.9919
0.7500 0.6858 0.3488
0.2500 0.2580 0.0081
0.7500 0.3853 0.8583
0.2500 0.6147 0.1417
```

Properties
Space-group type = P2_1/m
Spin magnetization = 1.64 μB/cell
D(E_F) = 1.6 states/eV/f.u.

***

No. 17
VASP calculation (PBE-GGA) on a geometry-optimized CsHf2Se4 structure.

```
CsHf2Se4
1.0
-0.8965 -3.1302 -2.0194
6.1450 -0.4547 -2.0233
-0.4965 -3.3222 9.0047
Hf Cs Se
2 1 4
Direct
0.7509 0.7552 0.5019
0.2491 0.2448 0.4981
0.5000 0.5000 0.0000
0.3404 0.9986 0.6808
0.6596 0.0014 0.3192
0.1618 0.5027 0.3237
0.8382 0.4973 0.6763
```

Properties
Space-group type = C2/m
Spin magnetization = 0.00 μB/cell
D(E_F) = 3.0 states/eV/f.u.

***

No. 18
VASP calculation (PBE-GGA) on a geometry-optimized Cs3HfSe3 structure.

```
Cs3HfSe3
1.0
-2.0511 7.2343 4.5406
-3.1325 -7.3057 3.7381
8.1667 -0.7546 2.6667
Hf Cs Se
2 6 6
Direct
0.8385 0.8385 0.8591
0.1615 0.1615 0.1409
0.6131 0.6131 0.3437
0.8279 0.1721 0.5000
0.3869 0.3869 0.6563
0.1721 0.8279 0.5000
0.7351 0.2649 0.0000
0.2649 0.7351 0.0000
0.5701 0.8525 0.7268
0.1475 0.4299 0.2732
0.0972 0.0972 0.8270
0.8525 0.5701 0.7268
0.9028 0.9028 0.1730
0.4299 0.1475 0.2732
```

Properties
Space-group type = C2/m
Spin magnetization = 0.00 μB/cell
D(E_F) = 0.8 states/eV/f.u.

***

No. 19
VASP calculation (PBE-GGA) on a geometry-optimized CsHf3Se structure.

```
CsHf3Se
1.0
-1.6574 -4.6610 -1.5228
4.1172 -2.1959 2.2401
-2.6632 -0.4940 4.4107
Hf Cs Se
3 1 1
Direct
0.5000 0.0000 0.0000
0.0000 0.5000 0.0000
0.0000 0.0000 0.5000
0.5000 0.5000 0.5000
0.0000 0.0000 0.0000
```

Properties
Space-group type = Pm-3m
Spin magnetization = 0.00 μB/cell
D(E_F) = 4.4 states/eV/f.u.

***

No. 20
VASP calculation (PBE-GGA) on a geometry-optimized CsHfSe2 structure.

```
CsHfSe2
1.0
0.0000 3.6958 3.6958
3.6958 0.0000 3.6958
3.6958 3.6958 0.0000
Se Cs Hf
2 1 1
Direct
0.2500 0.2500 0.2500
0.7500 0.7500 0.7500
0.0000 0.0000 0.0000
0.5000 0.5000 0.5000
```

Properties
Space-group type = Fm-3m
Spin magnetization = 1.00 μB/cell
D(E_F) = 3.0 states/eV/f.u.

***

No. 21
VASP calculation (PBE-GGA) on a geometry-optimized Cs3HfSe structure.

```
Cs3HfSe
1.0
-3.3084 6.0354 -0.9767
-1.9918 -2.1139 -6.3158
-5.7803 -2.7260 2.7353
Hf Se Cs
1 1 3
Direct
0.5000 0.5000 0.5000
0.0000 0.0000 0.0000
0.5000 0.0000 0.0000
0.0000 0.0000 0.5000
0.0000 0.5000 0.0000
```

Properties
Space-group type = Pm-3m
Spin magnetization = 3.00 μB/cell
D(E_F) = 10.4 states/eV/f.u.

***

No. 22
VASP calculation (PBE-GGA) on a geometry-optimized CsHfSe2 structure.

```
CsHfSe2
1.0
-0.6609 4.8742 -6.4263
3.0789 -5.8072 -4.7212
-2.9760 -2.0554 -6.3485
Se Cs Hf
4 2 2
Direct
0.3750 0.2629 0.7500
0.8750 0.9871 0.7500
0.0129 0.6250 0.2500
0.7371 0.1250 0.2500
0.5000 0.5000 0.0000
0.2500 0.7500 0.5000
0.7500 0.2500 0.5000
0.0000 0.0000 0.0000
```

Properties
Space-group type = I-42d
Spin magnetization = 2.00 μB/cell
D(E_F) = 0.6 states/eV/f.u.

***

no.,E_tot (eV per atom)
1,-4.725
2,-5.483
3,-4.354
4,-5.592
5,-4.947
6,-3.501
7,-3.963
8,-6.146
9,-3.062
10,-3.970
11,-6.118
12,-4.503
13,-4.783
14,-3.700
15,-4.512
16,-5.662
17,-6.340
18,-4.509
19,-6.123
20,-4.707
21,-2.704
22,-5.467